Nb12TcW6 (PBE, relaxed); energy of formation = 330 meV/atom; space group = No. 166
1.0
-3.669 4.868 3.837
-3.191 -6.116 2.070
6.182 -0.323 3.682
Nb Tc W
12 1 6
Cartesian
3.457 -0.349 3.102
0.723 -1.790 2.229
-1.830 -0.445 2.269
1.215 2.082 7.406
-1.277 -2.628 6.901
-2.163 2.614 3.190
0.599 1.057 2.687
-4.135 -1.222 6.486
1.152 -1.127 7.319
-1.401 0.218 7.359
-1.892 -3.654 2.182
1.486 -4.186 6.398
0.000 0.000 0.000
2.246 -2.149 4.752
-2.799 -2.305 4.370
-2.924 0.577 4.836
-0.463 2.097 5.257
2.121 0.734 5.218
-0.214 -3.669 4.331

***

CrRuSe3 (PBE, relaxed); space group = No. 221; formation energy from raw total energies = 848 meV/atom; energy relative to the lowest polymorph listed for this composition = 0.000 eV/atom
1.0
4.623 0.000 0.000
0.000 4.623 0.000
0.000 0.000 4.623
Se Cr Ru
3 1 1
Cartesian
0.000 2.312 0.000
0.000 0.000 2.312
2.312 0.000 0.000
0.000 0.000 0.000
2.312 2.312 2.312

***

ScTa2Pd (PBE, relaxed); energy of formation = 214 meV/atom; space group = No. 225; energy relative to the lowest polymorph listed for this composition = 0.000 eV/atom
1.0
-2.164 -2.667 3.135
-1.485 1.851 3.999
-4.556 0.539 0.763
Sc Pd Ta
1 1 2
Cartesian
0.000 0.000 0.000
-4.102 -0.138 3.949
-2.051 -0.069 1.974
-6.153 -0.207 5.923

***

SbOF3 (PBE, relaxed); space group = No. 221; formation energy from raw total energies = -156 meV/atom; energy relative to the lowest polymorph listed for this composition = 1.799 eV/atom
1.0
3.993 0.000 0.000
0.000 3.993 0.000
0.000 0.000 3.993
F Sb O
3 1 1
Cartesian
0.000 0.000 1.997
1.997 0.000 0.000
0.000 1.997 0.000
1.997 1.997 1.997
0.000 0.000 0.000

***

PrAl4Ag2Au (PBE, relaxed); energy of formation = -284 meV/atom; space group = No. 166
1.0
-2.863 -0.413 -3.362
-4.132 -1.418 0.767
-5.077 8.075 0.404
Al Ag Pr Au
4 2 1 1
Cartesian
-4.038 4.789 -0.076
-6.839 5.664 -0.724
-8.033 1.455 -2.115
-5.232 0.580 -1.467
-9.025 4.595 -1.656
-3.046 1.649 -0.535
0.000 0.000 0.000
-6.035 3.122 -1.096

***

CeMgZnBi (PBE, relaxed); energy of formation = -235 meV/atom; space group = No. 216
1.0
5.232 0.000 0.000
2.616 4.531 0.000
2.616 1.510 4.272
Ce Zn Bi Mg
1 1 1 1
Cartesian
2.616 1.510 1.068
0.000 0.000 0.000
5.232 3.021 2.136
7.849 4.531 3.204

***

BeHg2As (PBE, relaxed); energy of formation = 454 meV/atom; space group = No. 71; energy relative to the lowest polymorph listed for this composition = 0.394 eV/atom
1.0
5.650 0.037 0.010
1.797 5.357 -0.010
-2.605 -4.242 2.673
Hg Be As
2 1 1
Cartesian
3.446 2.496 0.000
0.278 0.201 0.000
1.458 1.906 1.332
3.384 -0.754 1.342

***

TaAu (PBE, relaxed); energy of formation = -92 meV/atom; space group = No. 67
1.0
-1.895 -0.761 -2.004
-0.829 -1.947 1.926
-5.814 5.753 3.314
Ta Au
2 2
Cartesian
-2.808 0.077 0.785
-2.915 2.884 1.661
-0.037 0.037 0.021
-5.685 2.924 2.425